(1)
PBEsol MgTaBiO5, relaxed; V = 12.720 A^3/atom; ΔE to the lowest computed polymorph = 0.000 eV per atom; total moment = 0.0 μB per formula unit; formation energy without anion corrections = -2.34 eV/atom
1.0
5.2809 0.0000 0.0000
0.0000 15.5883 0.0000
0.0000 0.0000 9.8893
Mg Ta Bi O
8 8 8 40
direct
0.0096 0.0817 0.1517 Mg
0.0096 0.4183 0.6517 Mg
0.4904 0.5817 0.1517 Mg
0.4904 0.9183 0.6517 Mg
0.5096 0.0817 0.3483 Mg
0.5096 0.4183 0.8483 Mg
0.9904 0.5817 0.3483 Mg
0.9904 0.9183 0.8483 Mg
0.0659 0.0653 0.6166 Ta
0.0659 0.4347 0.1166 Ta
0.4341 0.5653 0.6166 Ta
0.4341 0.9347 0.1166 Ta
0.5659 0.0653 0.8834 Ta
0.5659 0.4347 0.3834 Ta
0.9341 0.5653 0.8834 Ta
0.9341 0.9347 0.3834 Ta
0.0775 0.2467 0.3671 Bi
0.0775 0.2533 0.8671 Bi
0.4225 0.7467 0.3671 Bi
0.4225 0.7533 0.8671 Bi
0.5775 0.2467 0.1329 Bi
0.5775 0.2533 0.6329 Bi
0.9225 0.7467 0.1329 Bi
0.9225 0.7533 0.6329 Bi
0.0524 0.6744 0.8097 O
0.0524 0.8256 0.3097 O
0.1881 0.5476 0.0213 O
0.1881 0.9524 0.5213 O
0.1987 0.6271 0.5063 O
0.1987 0.8729 0.0063 O
0.2220 0.6670 0.2243 O
0.2220 0.8330 0.7243 O
0.2263 0.5105 0.7594 O
0.2263 0.9895 0.2594 O
0.2737 0.0105 0.7594 O
0.2737 0.4895 0.2594 O
0.2780 0.1670 0.2243 O
0.2780 0.3330 0.7243 O
0.3013 0.1271 0.5063 O
0.3013 0.3729 0.0063 O
0.3119 0.0476 0.0213 O
0.3119 0.4524 0.5213 O
0.4476 0.1744 0.8097 O
0.4476 0.3256 0.3097 O
0.5524 0.6744 0.6903 O
0.5524 0.8256 0.1903 O
0.6881 0.5476 0.4787 O
0.6881 0.9524 0.9787 O
0.6987 0.6271 0.9937 O
0.6987 0.8729 0.4937 O
0.7220 0.6670 0.2757 O
0.7220 0.8330 0.7757 O
0.7263 0.5105 0.7406 O
0.7263 0.9895 0.2406 O
0.7737 0.0105 0.7406 O
0.7737 0.4895 0.2406 O
0.7780 0.1670 0.2757 O
0.7780 0.3330 0.7757 O
0.8013 0.1271 0.9937 O
0.8013 0.3729 0.4937 O
0.8119 0.0476 0.4787 O
0.8119 0.4524 0.9787 O
0.9476 0.1744 0.6903 O
0.9476 0.3256 0.1903 O



(2)
PBEsol MgTaBiO5, relaxed; V = 15.149 A^3/atom; ΔE to the lowest computed polymorph = 0.047 eV per atom; total moment = 0.0 μB per formula unit; formation energy without anion corrections = -2.29 eV/atom
1.0
5.3316 0.0000 0.0000
0.0000 11.3928 0.0000
-3.0160 0.0000 7.9806
Mg Ta Bi O
4 4 4 20
direct
0.0291 0.0912 0.1522 Mg
0.0291 0.4088 0.6522 Mg
0.9709 0.5912 0.3478 Mg
0.9709 0.9088 0.8478 Mg
0.3628 0.6211 0.0535 Ta
0.3628 0.8789 0.5535 Ta
0.6372 0.1211 0.4465 Ta
0.6372 0.3789 0.9465 Ta
0.4387 0.1008 0.8417 Bi
0.4387 0.3992 0.3417 Bi
0.5613 0.6008 0.6583 Bi
0.5613 0.8992 0.1583 Bi
0.1816 0.5535 0.1862 O
0.1816 0.9465 0.6862 O
0.1998 0.7331 0.4811 O
0.1998 0.7669 0.9811 O
0.2494 0.0240 0.0138 O
0.2494 0.4760 0.5138 O
0.3151 0.1873 0.3148 O
0.3151 0.3127 0.8148 O
0.3620 0.5440 0.8533 O
0.3620 0.9560 0.3533 O
0.6380 0.0440 0.6467 O
0.6380 0.4560 0.1467 O
0.6849 0.6873 0.1852 O
0.6849 0.8127 0.6852 O
0.7506 0.5240 0.4862 O
0.7506 0.9760 0.9862 O
0.8002 0.2331 0.0189 O
0.8002 0.2669 0.5189 O
0.8184 0.0535 0.3138 O
0.8184 0.4465 0.8138 O



(3)
PBEsol MgTiBi2O6, relaxed; V = 12.411 A^3/atom; total moment = 0.0 μB per formula unit; formation energy without anion corrections = -2.12 eV/atom
1.0
2.7858 1.6084 4.6165
-2.7858 1.6084 4.6165
0.0000 -3.2168 4.6165
Mg Ti Bi O
1 1 2 6
direct
0.0000 0.0000 0.0000 Mg
0.4990 0.4990 0.4990 Ti
0.2261 0.2261 0.2261 Bi
0.7203 0.7203 0.7203 Bi
0.1981 0.7725 0.3341 O
0.2953 0.6685 0.8346 O
0.3341 0.1981 0.7725 O
0.6685 0.8346 0.2953 O
0.7725 0.3341 0.1981 O
0.8346 0.2953 0.6685 O



(4)
PBEsol Mg2SiBiOs, relaxed; V = 23.643 A^3/atom; total moment = 1.5 μB per formula unit; formation energy without anion corrections = 1.31 eV/atom
1.0
4.7209 0.0000 0.0000
0.0000 4.7209 0.0000
0.0000 0.0000 5.3043
Mg Si Bi Os
2 1 1 1
direct
0.0000 0.5000 0.0000 Mg
0.5000 0.0000 0.0000 Mg
0.0000 0.0000 0.0000 Si
0.0000 0.0000 0.5000 Bi
0.5000 0.5000 0.5000 Os



(5)
PBEsol MgBiP2, relaxed; VASP energy = -4.344 eV/atom; V = 27.549 A^3/atom; total moment = 0.0 μB per formula unit
1.0
-2.9835 2.9835 6.1899
2.9835 -2.9835 6.1899
2.9835 2.9835 -6.1899
Mg Bi P
2 2 4
direct
0.0000 0.0000 0.0000 Mg
0.7500 0.2500 0.5000 Mg
0.2500 0.7500 0.5000 Bi
0.5000 0.5000 0.0000 Bi
0.1019 0.6250 0.9769 P
0.3750 0.3519 0.4769 P
0.6481 0.1250 0.0231 P
0.8750 0.8981 0.5231 P



(6)
PBEsol SrMgBiPb2, relaxed; VASP energy = -2.992 eV/atom; V = 34.265 A^3/atom; total moment = 0.0 μB per formula unit
1.0
5.3371 0.0000 0.0000
0.0000 5.3371 0.0000
0.0000 0.0000 6.0146
Sr Mg Bi Pb
1 1 1 2
direct
0.0000 0.0000 0.0000 Sr
0.0000 0.0000 0.5000 Mg
0.5000 0.5000 0.0000 Bi
0.0000 0.5000 0.5000 Pb
0.5000 0.0000 0.5000 Pb



(7)
PBEsol Mg2TiBiPb, relaxed; VASP energy = -3.014 eV/atom; V = 34.397 A^3/atom; total moment = 2.3 μB per formula unit
1.0
5.2405 0.0000 0.0000
0.0000 5.2405 0.0000
0.0000 0.0000 6.2624
Mg Ti Bi Pb
2 1 1 1
direct
0.0000 0.5000 0.0000 Mg
0.5000 0.0000 0.0000 Mg
0.0000 0.0000 0.5000 Ti
0.5000 0.5000 0.0000 Bi
0.5000 0.5000 0.5000 Pb



(8)
PBEsol Mg2BiPd2, relaxed; VASP energy = -4.419 eV/atom; V = 18.513 A^3/atom; total moment = 0.0 μB per formula unit
1.0
7.6308 0.0000 0.0000
0.0000 7.6308 0.0000
0.0000 0.0000 3.1794
Mg Bi Pd
4 2 4
direct
0.1527 0.3473 0.0000 Mg
0.3473 0.8473 0.0000 Mg
0.6527 0.1527 0.0000 Mg
0.8473 0.6527 0.0000 Mg
0.0000 0.0000 0.5000 Bi
0.5000 0.5000 0.5000 Bi
0.1378 0.6378 0.5000 Pd
0.3622 0.1378 0.5000 Pd
0.6378 0.8622 0.5000 Pd
0.8622 0.3622 0.5000 Pd



(9)
PBEsol MgRe2BiPd, relaxed; VASP energy = -5.134 eV/atom; V = 24.471 A^3/atom; total moment = 0.7 μB per formula unit
1.0
4.9304 0.0000 0.0000
0.0000 4.9304 0.0000
0.0000 0.0000 5.0333
Mg Re Bi Pd
1 2 1 1
direct
0.0000 0.0000 0.0000 Mg
0.0000 0.5000 0.5000 Re
0.5000 0.0000 0.5000 Re
0.0000 0.0000 0.5000 Bi
0.5000 0.5000 0.0000 Pd



(10)
PBEsol MgScRe2Bi, relaxed; VASP energy = -5.851 eV/atom; V = 24.515 A^3/atom; total moment = 0.5 μB per formula unit
1.0
4.9879 0.0000 0.0000
0.0000 4.9879 0.0000
0.0000 0.0000 4.9268
Mg Sc Re Bi
1 1 2 1
direct
0.0000 0.0000 0.0000 Mg
0.5000 0.5000 0.0000 Sc
0.0000 0.5000 0.5000 Re
0.5000 0.0000 0.5000 Re
0.0000 0.0000 0.5000 Bi



(11)
PBEsol MgBiRh2, relaxed; VASP energy = -5.834 eV/atom; V = 16.682 A^3/atom; total moment = 0.0 μB per formula unit
1.0
0.0000 3.2193 3.2193
3.2193 0.0000 3.2193
3.2193 3.2193 0.0000
Mg Bi Rh
1 1 2
direct
0.0000 0.0000 0.0000 Mg
0.5000 0.5000 0.5000 Bi
0.2500 0.2500 0.2500 Rh
0.7500 0.7500 0.7500 Rh



(12)
PBEsol Mg3BiS, relaxed; V = 31.486 A^3/atom; total moment = 0.0 μB per formula unit; formation energy without anion corrections = 0.33 eV/atom
1.0
5.3996 0.0000 0.0000
0.0000 5.3996 0.0000
0.0000 0.0000 5.3996
Mg Bi S
3 1 1
direct
0.0000 0.0000 0.5000 Mg
0.0000 0.5000 0.0000 Mg
0.5000 0.0000 0.0000 Mg
0.0000 0.0000 0.0000 Bi
0.5000 0.5000 0.5000 S



What did the tenth record say?
PBEsol MgScRe2Bi, relaxed; VASP energy = -5.851 eV/atom; V = 24.515 A^3/atom; total moment = 0.5 μB per formula unit
1.0
4.9879 0.0000 0.0000
0.0000 4.9879 0.0000
0.0000 0.0000 4.9268
Mg Sc Re Bi
1 1 2 1
direct
0.0000 0.0000 0.0000 Mg
0.5000 0.5000 0.0000 Sc
0.0000 0.5000 0.5000 Re
0.5000 0.0000 0.5000 Re
0.0000 0.0000 0.5000 Bi